# CdFeSe (PBE-GGA, relaxed)
data_CdFeSe
_space_group_name_H-M_alt 'P 1'
_space_group_IT_number 1
_space_group_name_Hall 'P 1'
_cell_length_a 4.366
_cell_length_b 4.366
_cell_length_c 4.366
_cell_angle_alpha 60.00
_cell_angle_beta 60.00
_cell_angle_gamma 60.00
loop_
_atom_site_label
_atom_site_type_symbol
_atom_site_fract_x
_atom_site_fract_y
_atom_site_fract_z
_atom_site_occupancy
Cd1 Cd 0.000 0.000 0.000 1
Fe1 Fe 0.250 0.250 0.250 1
Se1 Se 0.500 0.500 0.500 1
# DFT total energy	-12.08	eV per cell
# symmetry	F-43m